Density functional theory data (GGA-PBE) for a relaxed structure of CrSi2Se.

Cell: 5.1805 5.1805 5.1805 Å, 141.94 129.72 64.76°
Last column: magnetic moment on the atom in μB.
Element x y z (fractional)
Si 0.9750 0.9750 0.0000  -0.08
Si 0.7754 0.2754 0.5000  -0.08
Se 0.1984 0.6984 0.5000  -0.06
Cr 0.5512 0.5512 0.0000  2.50

Summary:
Final energy   -22.45 eV for the cell shown
Space-group type   No. 44